This record from the Alexandria database describes a relaxed structure of NaCa3Hg. The functional is GGA-PBE.

a b c (Å): 6.0124 6.0124 6.0124
angles (deg): 90.00 90.00 90.00
Element x y z (fractional)
Na 0.0000 0.0000 0.0000
Ca 0.0000 0.0000 0.5000
Ca 0.0000 0.5000 0.0000
Ca 0.5000 0.0000 0.0000
Hg 0.5000 0.5000 0.5000

Summary:
Its space group is Pm-3m (221). As for the calculated formation energy: 0.411 eV/atom. The density of states at the Fermi level is 1.090 states/eV/atom. The calculation puts the excess energy over the best structure of this formula in the dataset at 615.3 meV/atom.